[1]
! TlGeBi2Pd (GGA-PBE, relaxed); values from VASP
! - energy of formation (eV per atom) = 0.1675
! - final energy (eV per cell) = -19.10
&SYSTEM
  ibrav = 0, nat = 5, ntyp = 4
/
ATOMIC_SPECIES
Bi 208.98 Bi.upf
Pd 106.42 Pd.upf
Ge 72.64 Ge.upf
Tl 204.38 Tl.upf
CELL_PARAMETERS angstrom
-4.0025 3.5112 -1.8640
0.8762 -1.3420 -4.4093
-3.8331 -4.1099 0.4892
ATOMIC_POSITIONS crystal
Bi 0.0000 0.0000 0.5000
Pd 0.0000 0.0000 0.0000
Ge 0.0000 0.5000 0.0000
Tl 0.5000 0.5000 0.5000
Bi 0.5000 0.0000 0.0000

---

[2]
! ReSb2RhI (GGA-PBE, relaxed); values from VASP
! - distance to the lowest polymorph of the same formula (meV/atom) = 114
! - formation energy from raw total energies (eV/atom) = 1.31
! - final energy (eV per cell) = -23.03
&SYSTEM
  ibrav = 0, nat = 5, ntyp = 4
/
ATOMIC_SPECIES
Sb 121.76 Sb.upf
Re 186.21 Re.upf
I 126.90 I.upf
Rh 102.91 Rh.upf
CELL_PARAMETERS angstrom
-0.6785 -4.6633 -1.9712
-1.7163 -1.6591 4.5160
-5.0019 1.3255 -1.4140
ATOMIC_POSITIONS crystal
Sb 0.0000 0.5000 0.0000
Re 0.5000 0.5000 0.5000
I 0.0000 0.0000 0.5000
Rh 0.0000 0.0000 0.0000
Sb 0.5000 0.0000 0.0000